No. 1
{
  "formula": "InRhO2F",
  "functional": "GGA-PBEsol",
  "state": "relaxed",
  "cell": [[-1.4661, 2.3422, 2.9791], [2.8255, -1.5372, 2.5991], [2.6253, 3.0094, -1.0741]],
  "species": ["F", "Rh", "O", "O", "In"],
  "frac_coords": [[0.5000, 0.0000, 0.0000], [0.5000, 0.5000, 0.5000], [0.0000, 0.0000, 0.5000], [0.0000, 0.5000, 0.0000], [0.0000, 0.0000, 0.0000]],
  "energy_ev_per_cell": -25.11,
  "space_group": "P4/mmm, No. 123",
  "mass_density_g_cm3": 6.421,
  "raw_formation_energy_ev_per_atom": -0.312
}

No. 2
{
  "formula": "InSO2F",
  "functional": "GGA-PBEsol",
  "state": "relaxed",
  "cell": [[-1.4241, -3.0298, 1.2370], [2.9303, -0.5798, 1.9534], [-2.2194, 2.7337, 4.1409]],
  "species": ["S", "F", "O", "O", "In"],
  "frac_coords": [[0.0000, 0.0000, 0.0000], [0.0000, 0.0000, 0.5000], [0.0000, 0.5000, 0.0000], [0.5000, 0.0000, 0.0000], [0.5000, 0.5000, 0.5000]],
  "energy_ev_per_cell": -22.66,
  "space_group": "P4/mmm, No. 123",
  "mass_density_g_cm3": 4.746,
  "raw_formation_energy_ev_per_atom": -0.574
}